HgAsPdO2 | PBE | relaxed

The structure in extended XYZ format:
```
5
Lattice="3.757 0.000 0.000 0.000 3.757 0.000 0.000 0.000 6.726" Properties=species:S:1:pos:R:3 pbc="T T T"
Hg 0.000 0.000 0.000
As 0.000 0.000 3.363
Pd 1.878 1.878 0.000
O 0.000 1.878 3.363
O 1.878 0.000 3.363
```

Computed properties:
M_tot: 0.00 Bohr magnetons per cell
Fermi-level density of states: 1.22 states/eV per cell
Symmetry: P4/mmm
Raw formation energy: -0.063 eV/atom
Final energy: -4.075 eV/atom

***

HgAsPdO6 | PBE | relaxed

The structure in extended XYZ format:
```
9
Lattice="5.122 0.000 0.000 -2.561 4.435 0.000 0.000 0.000 4.960" Properties=species:S:1:pos:R:3 pbc="T T T"
Hg 0.000 0.000 0.000
As 2.561 1.478 2.480
Pd 0.000 2.957 2.480
O 1.916 0.084 3.549
O 1.031 1.617 1.412
O 3.205 0.084 1.412
O 1.676 2.734 3.549
O 4.090 1.617 3.549
O 3.446 2.734 1.412
```

Computed properties:
M_tot: 0.84 Bohr magnetons per cell
Fermi-level density of states: 6.30 states/eV per cell
Symmetry: P312
Raw formation energy: -0.578 eV/atom
Final energy: -5.011 eV/atom

***

PmHgAs2O8 | PBE | relaxed

The structure in extended XYZ format:
```
12
Lattice="-3.674 3.674 3.260 3.674 -3.674 3.260 3.674 3.674 -3.260" Properties=species:S:1:pos:R:3 pbc="T T T"
Pm 0.000 0.000 0.000
Hg 3.674 0.000 1.630
As 0.000 0.000 3.260
As 0.000 3.674 1.630
O 2.383 3.674 -1.147
O 1.292 0.000 2.112
O 0.000 2.341 0.542
O 3.674 2.383 1.147
O 0.000 5.008 0.542
O 0.000 1.292 4.407
O -1.334 3.674 2.718
O 1.334 3.674 2.718
```

Computed properties:
M_tot: 1.09 Bohr magnetons per cell
Fermi-level density of states: 11.81 states/eV per cell
Symmetry: I-4m2
Raw formation energy: -1.436 eV/atom
Final energy: -5.937 eV/atom

***

PmHg2AsO6 | PBE | relaxed

The structure in extended XYZ format:
```
10
Lattice="2.815 1.625 4.908 -2.815 1.625 4.908 0.000 -3.251 4.908" Properties=species:S:1:pos:R:3 pbc="T T T"
Pm 0.000 0.000 0.000
Hg 0.000 0.000 3.534
Hg 0.000 0.000 11.190
As 0.000 0.000 7.362
O -1.519 0.214 6.269
O -0.944 -1.208 8.456
O 0.574 -1.422 6.269
O -0.574 1.422 8.456
O 0.944 1.208 6.269
O 1.519 -0.214 8.456
```

Computed properties:
M_tot: 0.00 Bohr magnetons per cell
Symmetry: R-3
Raw formation energy: -1.365 eV/atom
Final energy: -5.340 eV/atom

***

HgAs2PtO8 | PBE | relaxed

The structure in extended XYZ format:
```
12
Lattice="5.468 0.000 0.000 -2.734 4.736 0.000 0.000 0.000 6.795" Properties=species:S:1:pos:R:3 pbc="T T T"
Hg 0.000 0.000 0.000
As 0.000 3.157 1.540
As 2.734 1.579 5.255
Pt 0.000 0.000 3.397
O 0.000 1.468 2.002
O -1.462 4.001 2.002
O 1.272 0.734 4.793
O 0.000 3.157 6.673
O 2.734 1.579 0.122
O 1.462 4.001 2.002
O 4.197 0.734 4.793
O 2.734 3.267 4.793
```

Computed properties:
M_tot: 0.00 Bohr magnetons per cell
Symmetry: P-3m1
Raw formation energy: -0.657 eV/atom
Final energy: -5.266 eV/atom

***

PuHgAs2O8 | PBE | relaxed

The structure in extended XYZ format:
```
12
Lattice="4.589 -2.975 0.000 4.589 2.975 0.000 -1.427 0.000 7.773" Properties=species:S:1:pos:R:3 pbc="T T T"
Pu 0.000 0.000 0.000
Hg -0.713 0.000 3.886
As 1.887 0.000 6.017
As 5.864 0.000 1.756
O 2.870 1.404 6.193
O 0.688 0.000 7.244
O 1.276 0.000 4.398
O 4.881 1.404 1.580
O 2.870 -1.404 6.193
O 6.475 0.000 3.375
O 7.064 0.000 0.529
O 4.881 -1.404 1.580
```

Computed properties:
M_tot: 4.00 Bohr magnetons per cell
Fermi-level density of states: 4.16 states/eV per cell
Symmetry: C2/m
Raw formation energy: -1.515 eV/atom
Final energy: -6.815 eV/atom